# PBE Lu2BeGe, optimized geometry
# - E_tot: -63.7 eV per cell
# - Mass density: 8.8 g cm⁻³
data_Lu2BeGe
_cell_length_a 6.892
_cell_length_b 6.892
_cell_length_c 6.892
_cell_angle_alpha 90.00
_cell_angle_beta 90.00
_cell_angle_gamma 90.00
_symmetry_space_group_name_H-M 'F -4 3 m'
_symmetry_Int_Tables_number 216
_symmetry_space_group_name_Hall 'F -4 2 3'
loop_
_atom_site_label
_atom_site_type_symbol
_atom_site_fract_x
_atom_site_fract_y
_atom_site_fract_z
Lu1 Lu 0.000 0.000 0.000
Lu2 Lu 0.250 0.250 0.250
Be1 Be 0.250 0.250 0.750
Ge1 Ge 0.000 0.000 0.500

# PBE Cu7Ag3, optimized geometry
# - Mass density: 9.3 g cm⁻³
# - DFT formation energy: 0.064 eV/atom
# - Energy above the lowest structure with this stoichiometry: 19 meV/atom
data_Cu7Ag3
_cell_length_a 9.031
_cell_length_b 2.785
_cell_length_c 10.948
_cell_angle_alpha 90.00
_cell_angle_beta 97.46
_cell_angle_gamma 90.00
_symmetry_space_group_name_H-M 'C 1 2/m 1'
_symmetry_Int_Tables_number 12
loop_
_symmetry_equiv_pos_as_xyz
'x,y,z'
'-x,-y,-z'
'-x,y,-z'
'x,-y,z'
'x+1/2,y+1/2,z'
'-x+1/2,-y+1/2,-z'
'-x+1/2,y+1/2,-z'
'x+1/2,-y+1/2,z'
loop_
_atom_site_label
_atom_site_type_symbol
_atom_site_fract_x
_atom_site_fract_y
_atom_site_fract_z
Cu1 Cu 0.000 0.000 0.000
Cu2 Cu 0.082 0.000 0.729
Cu3 Cu 0.109 0.500 0.175
Cu4 Cu 0.193 0.500 0.910
Ag1 Ag 0.000 0.500 0.500
Ag2 Ag 0.211 0.000 0.377

# PBE PrZnGa, optimized geometry
# - E_tot: -35.9 eV per cell
# - Mass density: 5.6 g cm⁻³
data_PrZnGa
_cell_length_a 6.893
_cell_length_b 6.893
_cell_length_c 6.893
_cell_angle_alpha 90.00
_cell_angle_beta 90.00
_cell_angle_gamma 90.00
_symmetry_space_group_name_H-M 'F -4 3 m'
_symmetry_Int_Tables_number 216
_symmetry_space_group_name_Hall 'F -4 2 3'
loop_
_atom_site_label
_atom_site_type_symbol
_atom_site_fract_x
_atom_site_fract_y
_atom_site_fract_z
Pr1 Pr 0.000 0.000 0.000
Zn1 Zn 0.250 0.250 0.250
Ga1 Ga 0.250 0.250 0.750

What did the first record say?
# PBE Lu2BeGe, optimized geometry
# - E_tot: -63.7 eV per cell
# - Mass density: 8.8 g cm⁻³
data_Lu2BeGe
_cell_length_a 6.892
_cell_length_b 6.892
_cell_length_c 6.892
_cell_angle_alpha 90.00
_cell_angle_beta 90.00
_cell_angle_gamma 90.00
_symmetry_space_group_name_H-M 'F -4 3 m'
_symmetry_Int_Tables_number 216
_symmetry_space_group_name_Hall 'F -4 2 3'
loop_
_atom_site_label
_atom_site_type_symbol
_atom_site_fract_x
_atom_site_fract_y
_atom_site_fract_z
Lu1 Lu 0.000 0.000 0.000
Lu2 Lu 0.250 0.250 0.250
Be1 Be 0.250 0.250 0.750
Ge1 Ge 0.000 0.000 0.500

Question: Among the records above, which one has the lowest mass density?
Answer: PrZnGa

Question: Number 3 is which compound?
Answer: PrZnGa

Question: Which value of mass density does entry 3 give?
Answer: 5.6 g cm⁻³